{"formula": "Zr2Ga2H", "functional": "PBE", "state": "relaxed", "final_energy_ev_per_atom": -5.669, "space_group": "Cmc2_1", "e_above_lowest_polymorph_ev_per_fu": 0.00, "total_magnetization_mub_per_atom": 0.00, "lattice_angstrom": [[-2.044, 3.864, 1.289], [-2.697, -2.765, 4.012], [5.977, -0.704, 3.533]], "species": ["Zr", "Zr", "Zr", "Zr", "Ga", "Ga", "Ga", "Ga", "H", "H"], "fractional_positions": [[0.435, 0.435, 0.871], [0.819, 0.968, 0.638], [0.181, 0.468, 0.362], [0.565, 0.935, 0.129], [0.992, 0.703, 0.985], [0.806, 0.465, 0.612], [0.194, 0.965, 0.388], [0.008, 0.203, 0.015], [0.410, 0.063, 0.820], [0.590, 0.563, 0.180]]}